No. 1
# NiRhAu3 (GGA-PBEsol, optimized geometry)
data_NiRhAu3
_chemical_formula_sum 'Ni1 Rh1 Au3'
_symmetry_space_group_name_H-M 'P m -3 m'
_symmetry_Int_Tables_number 221
_symmetry_space_group_name_Hall '-P 4 2 3'
_cell_length_a 4.5555
_cell_length_b 4.5555
_cell_length_c 4.5555
_cell_angle_alpha 90.00
_cell_angle_beta 90.00
_cell_angle_gamma 90.00
loop_
_atom_site_label
_atom_site_type_symbol
_atom_site_fract_x
_atom_site_fract_y
_atom_site_fract_z
_atom_site_occupancy
Ni1 Ni 0.0000 0.0000 0.0000 1
Rh1 Rh 0.5000 0.5000 0.5000 1
Au1 Au 0.0000 0.0000 0.5000 1
# Calculated formation energy ... 1.1739 eV/atom
# Total magnetic moment ... 1.29 Bohr magnetons per cell
# N(E_F) ... 9.43 states/eV per cell
# Calculated density ... 13217 kg/m3


No. 2
# Ni6RhAu (GGA-PBEsol, optimized geometry)
data_Ni6RhAu
_chemical_formula_sum 'Ni48 Rh8 Au8'
_symmetry_space_group_name_H-M 'C m m m'
_symmetry_Int_Tables_number 65
_symmetry_space_group_name_Hall '-C 2 2'
_cell_length_a 7.1979
_cell_length_b 10.1844
_cell_length_c 10.1893
_cell_angle_alpha 90.00
_cell_angle_beta 90.00
_cell_angle_gamma 90.00
loop_
_atom_site_label
_atom_site_type_symbol
_atom_site_fract_x
_atom_site_fract_y
_atom_site_fract_z
_atom_site_occupancy
Ni1 Ni 0.0000 0.0000 0.0000 1
Ni2 Ni 0.0000 0.0000 0.5000 1
Ni3 Ni 0.0000 0.2467 0.2449 1
Ni4 Ni 0.0000 0.5000 0.0000 1
Ni5 Ni 0.0000 0.5000 0.5000 1
Ni6 Ni 0.2454 0.1238 0.3719 1
Ni7 Ni 0.2458 0.1266 0.1222 1
Rh1 Rh 0.0000 0.0000 0.2498 1
Rh2 Rh 0.0000 0.2509 0.0000 1
Au1 Au 0.0000 0.2525 0.5000 1
Au2 Au 0.0000 0.5000 0.2484 1
# Calculated formation energy ... 0.0584 eV/atom
# Total magnetic moment ... 37.21 Bohr magnetons per cell
# N(E_F) ... 99.12 states/eV per cell
# Calculated density ... 11596 kg/m3


No. 3
# NiRhAu (GGA-PBEsol, optimized geometry)
data_NiRhAu
_chemical_formula_sum 'Ni1 Rh1 Au1'
_symmetry_space_group_name_H-M 'P 3 m 1'
_symmetry_Int_Tables_number 156
_cell_length_a 2.7212
_cell_length_b 2.7212
_cell_length_c 6.4862
_cell_angle_alpha 90.00
_cell_angle_beta 90.00
_cell_angle_gamma 120.00
loop_
_symmetry_equiv_pos_as_xyz
'x,y,z'
'-y,x-y,z'
'-x+y,-x,z'
'-y,-x,z'
'-x+y,y,z'
'x,x-y,z'
loop_
_atom_site_label
_atom_site_type_symbol
_atom_site_fract_x
_atom_site_fract_y
_atom_site_fract_z
_atom_site_occupancy
Ni1 Ni 0.0000 0.0000 0.0000 1
Rh1 Rh 0.3333 0.6667 0.6988 1
Au1 Au 0.6667 0.3333 0.3336 1
# Calculated formation energy ... 0.1545 eV/atom
# Total magnetic moment ... 1.30 Bohr magnetons per cell
# N(E_F) ... 3.90 states/eV per cell
# Calculated density ... 14314 kg/m3


No. 4
# NiRuAu (GGA-PBEsol, optimized geometry)
data_NiRuAu
_chemical_formula_sum 'Ni4 Ru4 Au4'
_symmetry_space_group_name_H-M 'F -4 3 m'
_symmetry_Int_Tables_number 216
_symmetry_space_group_name_Hall 'F -4 2 3'
_cell_length_a 5.6843
_cell_length_b 5.6843
_cell_length_c 5.6843
_cell_angle_alpha 90.00
_cell_angle_beta 90.00
_cell_angle_gamma 90.00
loop_
_atom_site_label
_atom_site_type_symbol
_atom_site_fract_x
_atom_site_fract_y
_atom_site_fract_z
_atom_site_occupancy
Ni1 Ni 0.0000 0.0000 0.0000 1
Ru1 Ru 0.2500 0.2500 0.2500 1
Au1 Au 0.2500 0.2500 0.7500 1
# Calculated formation energy ... 0.6524 eV/atom
# Total magnetic moment ... 5.21 Bohr magnetons per cell
# Energy above the lowest structure with this stoichiometry ... 0 meV per atom
# N(E_F) ... 20.91 states/eV per cell
# Calculated density ... 12901 kg/m3


No. 5
# Ni2RuAu (GGA-PBEsol, optimized geometry)
data_Ni2RuAu
_chemical_formula_sum 'Ni4 Ru2 Au2'
_symmetry_space_group_name_H-M 'I -4 m 2'
_symmetry_Int_Tables_number 119
_symmetry_space_group_name_Hall 'I -4 -2'
_cell_length_a 3.6562
_cell_length_b 3.6562
_cell_length_c 7.6938
_cell_angle_alpha 90.00
_cell_angle_beta 90.00
_cell_angle_gamma 90.00
loop_
_atom_site_label
_atom_site_type_symbol
_atom_site_fract_x
_atom_site_fract_y
_atom_site_fract_z
_atom_site_occupancy
Ni1 Ni 0.0000 0.0000 0.0000 1
Ni2 Ni 0.0000 0.5000 0.2500 1
Ru1 Ru 0.0000 0.0000 0.5000 1
Au1 Au 0.0000 0.5000 0.7500 1
# Calculated formation energy ... 0.2691 eV/atom
# Total magnetic moment ... 4.12 Bohr magnetons per cell
# Energy above the lowest structure with this stoichiometry ... 0 meV per atom
# N(E_F) ... 11.37 states/eV per cell
# Calculated density ... 13414 kg/m3


No. 6
# NiRu2Au (GGA-PBEsol, optimized geometry)
data_NiRu2Au
_chemical_formula_sum 'Ni4 Ru8 Au4'
_symmetry_space_group_name_H-M 'F m -3 m'
_symmetry_Int_Tables_number 225
_symmetry_space_group_name_Hall '-F 4 2 3'
_cell_length_a 6.0278
_cell_length_b 6.0278
_cell_length_c 6.0278
_cell_angle_alpha 90.00
_cell_angle_beta 90.00
_cell_angle_gamma 90.00
loop_
_atom_site_label
_atom_site_type_symbol
_atom_site_fract_x
_atom_site_fract_y
_atom_site_fract_z
_atom_site_occupancy
Ni1 Ni 0.0000 0.0000 0.0000 1
Ru1 Ru 0.2500 0.2500 0.2500 1
Au1 Au 0.0000 0.0000 0.5000 1
# Calculated formation energy ... 0.5481 eV/atom
# Total magnetic moment ... 0.00 Bohr magnetons per cell
# N(E_F) ... 14.33 states/eV per cell
# Calculated density ... 13884 kg/m3


No. 7
# Ni2RuAu (GGA-PBEsol, optimized geometry)
data_Ni2RuAu
_chemical_formula_sum 'Ni8 Ru4 Au4'
_symmetry_space_group_name_H-M 'F m -3 m'
_symmetry_Int_Tables_number 225
_symmetry_space_group_name_Hall '-F 4 2 3'
_cell_length_a 5.9103
_cell_length_b 5.9103
_cell_length_c 5.9103
_cell_angle_alpha 90.00
_cell_angle_beta 90.00
_cell_angle_gamma 90.00
loop_
_atom_site_label
_atom_site_type_symbol
_atom_site_fract_x
_atom_site_fract_y
_atom_site_fract_z
_atom_site_occupancy
Ni1 Ni 0.2500 0.2500 0.2500 1
Ru1 Ru 0.0000 0.0000 0.0000 1
Au1 Au 0.0000 0.0000 0.5000 1
# Calculated formation energy ... 0.2969 eV/atom
# Total magnetic moment ... 11.02 Bohr magnetons per cell
# Energy above the lowest structure with this stoichiometry ... 28 meV per atom
# N(E_F) ... 21.86 states/eV per cell
# Calculated density ... 13365 kg/m3


No. 8
# Ni2RuAu (GGA-PBEsol, optimized geometry)
data_Ni2RuAu
_chemical_formula_sum 'Ni2 Ru1 Au1'
_symmetry_space_group_name_H-M 'P 4/m m m'
_symmetry_Int_Tables_number 123
_symmetry_space_group_name_Hall '-P 4 2'
_cell_length_a 3.8418
_cell_length_b 3.8418
_cell_length_c 3.4876
_cell_angle_alpha 90.00
_cell_angle_beta 90.00
_cell_angle_gamma 90.00
loop_
_atom_site_label
_atom_site_type_symbol
_atom_site_fract_x
_atom_site_fract_y
_atom_site_fract_z
_atom_site_occupancy
Ni1 Ni 0.0000 0.5000 0.0000 1
Ru1 Ru 0.0000 0.0000 0.5000 1
Au1 Au 0.5000 0.5000 0.5000 1
# Calculated formation energy ... 0.2992 eV/atom
# Total magnetic moment ... 2.13 Bohr magnetons per cell
# Energy above the lowest structure with this stoichiometry ... 30 meV per atom
# N(E_F) ... 7.58 states/eV per cell
# Calculated density ... 13401 kg/m3


No. 9
# NiAuS3 (GGA-PBEsol, optimized geometry)
data_NiAuS3
_chemical_formula_sum 'Ni1 Au1 S3'
_symmetry_space_group_name_H-M 'P m -3 m'
_symmetry_Int_Tables_number 221
_symmetry_space_group_name_Hall '-P 4 2 3'
_cell_length_a 4.3809
_cell_length_b 4.3809
_cell_length_c 4.3809
_cell_angle_alpha 90.00
_cell_angle_beta 90.00
_cell_angle_gamma 90.00
loop_
_atom_site_label
_atom_site_type_symbol
_atom_site_fract_x
_atom_site_fract_y
_atom_site_fract_z
_atom_site_occupancy
Ni1 Ni 0.0000 0.0000 0.0000 1
Au1 Au 0.5000 0.5000 0.5000 1
S1 S 0.0000 0.0000 0.5000 1
# Energy relative to the elements, uncorrected ... 3.0 eV per formula unit
# Total magnetic moment ... 0.01 Bohr magnetons per cell
# Energy above the lowest structure with this stoichiometry ... 0 meV per atom
# N(E_F) ... 6.33 states/eV per cell
# Calculated density ... 6949 kg/m3


No. 10
# SrNiAuS2 (GGA-PBEsol, optimized geometry)
data_SrNiAuS2
_chemical_formula_sum 'Sr1 Ni1 Au1 S2'
_symmetry_space_group_name_H-M 'P 4/m m m'
_symmetry_Int_Tables_number 123
_symmetry_space_group_name_Hall '-P 4 2'
_cell_length_a 4.5471
_cell_length_b 4.5471
_cell_length_c 4.7385
_cell_angle_alpha 90.00
_cell_angle_beta 90.00
_cell_angle_gamma 90.00
loop_
_atom_site_label
_atom_site_type_symbol
_atom_site_fract_x
_atom_site_fract_y
_atom_site_fract_z
_atom_site_occupancy
Sr1 Sr 0.0000 0.0000 0.0000 1
Ni1 Ni 0.5000 0.5000 0.5000 1
Au1 Au 0.5000 0.5000 0.0000 1
S1 S 0.0000 0.5000 0.5000 1
# Energy relative to the elements, uncorrected ... -3.1 eV per formula unit
# Total magnetic moment ... 0.00 Bohr magnetons per cell
# N(E_F) ... 2.48 states/eV per cell
# Calculated density ... 6905 kg/m3


Copy entry 9 word for word.
# NiAuS3 (GGA-PBEsol, optimized geometry)
data_NiAuS3
_chemical_formula_sum 'Ni1 Au1 S3'
_symmetry_space_group_name_H-M 'P m -3 m'
_symmetry_Int_Tables_number 221
_symmetry_space_group_name_Hall '-P 4 2 3'
_cell_length_a 4.3809
_cell_length_b 4.3809
_cell_length_c 4.3809
_cell_angle_alpha 90.00
_cell_angle_beta 90.00
_cell_angle_gamma 90.00
loop_
_atom_site_label
_atom_site_type_symbol
_atom_site_fract_x
_atom_site_fract_y
_atom_site_fract_z
_atom_site_occupancy
Ni1 Ni 0.0000 0.0000 0.0000 1
Au1 Au 0.5000 0.5000 0.5000 1
S1 S 0.0000 0.0000 0.5000 1
# Energy relative to the elements, uncorrected ... 3.0 eV per formula unit
# Total magnetic moment ... 0.01 Bohr magnetons per cell
# Energy above the lowest structure with this stoichiometry ... 0 meV per atom
# N(E_F) ... 6.33 states/eV per cell
# Calculated density ... 6949 kg/m3